Gd (SCAN, single point on PBEsol structure); mass density = 8.7 Mg/m³; space group = P6/mmm; calculated volume = 30.0 Å³/atom; distance to the lowest polymorph of the same formula = 9 kJ/mol of formula units
1.0
5.553 0.000 0.000
-2.777 4.809 0.000
0.000 0.000 3.372
Gd
3
direct
0.000 0.000 0.000
0.333 0.667 0.500
0.667 0.333 0.500

---

Sb2IrRu (SCAN, single point on PBEsol structure); mass density = 12.7 Mg/m³; space group = I-4m2; calculated volume = 17.6 Å³/atom; distance to the lowest polymorph of the same formula = 139 kJ/mol of formula units
1.0
-1.921 1.921 4.765
1.921 -1.921 4.765
1.921 1.921 -4.765
Sb Ir Ru
2 1 1
direct
0.000 0.000 0.000
0.750 0.250 0.500
0.500 0.500 0.000
0.250 0.750 0.500

---

TcAsBr2 (SCAN, single point on PBEsol structure); mass density = 6.7 Mg/m³; space group = R3m; calculated volume = 20.6 Å³/atom; distance to the lowest polymorph of the same formula = 0 kJ/mol of formula units
1.0
1.655 0.956 8.664
-1.655 0.956 8.664
0.000 -1.911 8.664
Tc As Br
1 1 2
direct
0.000 0.000 0.000
0.273 0.273 0.273
0.527 0.527 0.527
0.738 0.738 0.738

---

Cr2RePb (SCAN, single point on PBEsol structure); mass density = 13.7 Mg/m³; space group = I4/mmm; calculated volume = 15.1 Å³/atom
1.0
-2.052 2.052 3.575
2.052 -2.052 3.575
2.052 2.052 -3.575
Cr Re Pb
2 1 1
direct
0.250 0.750 0.500
0.750 0.250 0.500
0.000 0.000 0.000
0.500 0.500 0.000

---

For reference, E by record: -2.1581 -1.6434 -0.8615 -1.6650 Ha/atom.